[1]
VASP calculation (SCAN) on a crystal of TaTe2AsBr relaxed with PBEsol.

Calculated values
M_tot (μB per atom): 0.205
Crystal system: tetragonal
Final energy (eV/atom): -35.2190
Formation energy (no corrections) (meV per atom): 928.1

Lattice parameters (Å, degrees): 5.3936 5.3936 4.8977 90.00 90.00 90.00
Space group P4/mmm (No. 123)
One atom of each set of equivalent atoms:
Ta 0.0000 0.0000 0.0000 [1 per cell]
Te 0.0000 0.5000 0.5000 [2 per cell]
As 0.0000 0.0000 0.5000 [1 per cell]
Br 0.5000 0.5000 0.0000 [1 per cell]

[2]
VASP calculation (SCAN) on a crystal of YTaAsBr2 relaxed with PBEsol.

Calculated values
M_tot (μB per atom): 0.600
Crystal system: tetragonal
Final energy (eV/atom): -30.3821
ΔE to the lowest computed polymorph (meV/atom): 390.7
Formation energy (no corrections) (meV per atom): 325.1

Lattice parameters (Å, degrees): 5.1997 5.1997 5.6854 90.00 90.00 90.00
Space group P4/mmm (No. 123)
One atom of each set of equivalent atoms:
Y 0.0000 0.0000 0.0000 [1 per cell]
Ta 0.5000 0.5000 0.5000 [1 per cell]
As 0.0000 0.0000 0.5000 [1 per cell]
Br 0.0000 0.5000 0.0000 [2 per cell]

[3]
VASP calculation (SCAN) on a crystal of YTaAsBr2 relaxed with PBEsol.

Calculated values
M_tot (μB per atom): 0.237
Crystal system: tetragonal
Final energy (eV/atom): -30.7728
ΔE to the lowest computed polymorph (meV/atom): 0.0
Formation energy (no corrections) (meV per atom): -65.6

Lattice parameters (Å, degrees): 4.9637 4.9637 5.0941 90.00 90.00 90.00
Space group P4/mmm (No. 123)
One atom of each set of equivalent atoms:
Y 0.0000 0.0000 0.0000 [1 per cell]
Ta 0.5000 0.5000 0.5000 [1 per cell]
As 0.5000 0.5000 0.0000 [1 per cell]
Br 0.0000 0.5000 0.5000 [2 per cell]

[4]
VASP calculation (SCAN) on a crystal of TaZnAsBr2 relaxed with PBEsol.

Calculated values
M_tot (μB per atom): 0.000
Crystal system: tetragonal
Final energy (eV/atom): -27.6836
Formation energy (no corrections) (meV per atom): 158.0

Lattice parameters (Å, degrees): 5.0733 5.0733 5.0229 90.00 90.00 90.00
Space group P4/mmm (No. 123)
One atom of each set of equivalent atoms:
Ta 0.0000 0.0000 0.0000 [1 per cell]
Zn 0.5000 0.5000 0.5000 [1 per cell]
As 0.0000 0.0000 0.5000 [1 per cell]
Br 0.0000 0.5000 0.0000 [2 per cell]

[5]
VASP calculation (SCAN) on a crystal of ZrTaAs2Br relaxed with PBEsol.

Calculated values
M_tot (μB per atom): 0.525
Crystal system: tetragonal
Final energy (eV/atom): -30.6468
Formation energy (no corrections) (meV per atom): 777.7

Lattice parameters (Å, degrees): 5.1103 5.1103 4.9775 90.00 90.00 90.00
Space group P4/mmm (No. 123)
One atom of each set of equivalent atoms:
Zr 0.0000 0.0000 0.0000 [1 per cell]
Ta 0.5000 0.5000 0.5000 [1 per cell]
As 0.0000 0.5000 0.0000 [2 per cell]
Br 0.0000 0.0000 0.5000 [1 per cell]

[6]
VASP calculation (SCAN) on a crystal of YTcAs2Br relaxed with PBEsol.

Calculated values
M_tot (μB per atom): 0.000
Crystal system: tetragonal
Final energy (eV/atom): -24.6436
Formation energy (no corrections) (meV per atom): -94.9

Lattice parameters (Å, degrees): 4.7175 4.7175 5.1276 90.00 90.00 90.00
Space group P4/mmm (No. 123)
One atom of each set of equivalent atoms:
Y 0.0000 0.0000 0.0000 [1 per cell]
Tc 0.5000 0.5000 0.5000 [1 per cell]
As 0.0000 0.5000 0.5000 [2 per cell]
Br 0.5000 0.5000 0.0000 [1 per cell]

Number 1: volume 142.48 Å³/cell. Number 2: volume 153.72 Å³/cell. Number 3: volume 125.51 Å³/cell. Number 4: volume 129.28 Å³/cell. Number 5: volume 129.99 Å³/cell. Number 6: volume 114.11 Å³/cell.